(1)
A relaxed Na2Er2SbS6 crystal, computed with GGA-PBE.

Unit cell a=6.782 b=6.782 c=7.126 alpha=98.79 beta=98.79 gamma=119.95
Fractional positions:
Na  0.835  0.165  0.000
Na  0.165  0.835  0.000
Er  0.333  0.667  0.500
Er  0.667  0.333  0.500
Sb  0.000  0.000  0.500
S  0.748  0.748  0.718
S  0.068  0.397  0.718
S  0.252  0.252  0.282
S  0.397  0.068  0.718
S  0.932  0.603  0.282
S  0.603  0.932  0.282

Calculated values
The value obtained for the total DFT energy (no corrections) is -55.5 eV/cell. The space group is C2/m, No. 12. For the total magnetization, the calculation gives 0.000 Bohr magnetons per cell. Its density of states at the Fermi level is 4.51 states/eV per cell. For the volume, the calculation gives 270.5 Å³/cell. The value obtained for the formation energy from raw total energies is -14.80 eV per formula unit.



(2)
A relaxed Na2ErSbS4 crystal, computed with GGA-PBE.

Unit cell a=3.966 b=6.921 c=7.065 alpha=108.83 beta=90.00 gamma=90.00
Fractional positions:
Na  0.500  0.000  0.500
Na  0.000  0.500  0.500
Er  0.500  0.500  0.000
Sb  0.000  0.000  0.000
S  0.500  0.247  0.228
S  0.500  0.753  0.772
S  0.000  0.261  0.775
S  0.000  0.739  0.225

Calculated values
The value obtained for the total DFT energy (no corrections) is -37.9 eV/cell. The space group is P2/m, No. 10. For the total magnetization, the calculation gives 0.000 Bohr magnetons per cell. Its density of states at the Fermi level is 0.00 states/eV per cell. For the volume, the calculation gives 183.6 Å³/cell. The value obtained for the formation energy from raw total energies is -10.03 eV per formula unit.



(3)
A relaxed NaEr4ScS8 crystal, computed with GGA-PBE.

Unit cell a=8.010 b=8.010 c=7.909 alpha=59.57 beta=59.57 gamma=60.00
Fractional positions:
Na  0.378  0.378  0.867
Er  0.623  0.623  0.130
Er  0.005  0.487  0.503
Er  0.487  0.005  0.503
Er  0.005  0.005  0.503
Sc  0.007  0.007  0.980
S  0.232  0.787  0.750
S  0.787  0.232  0.750
S  0.232  0.232  0.750
S  0.240  0.240  0.280
S  0.763  0.223  0.252
S  0.223  0.763  0.252
S  0.763  0.763  0.252
S  0.758  0.758  0.727

Calculated values
The value obtained for the total DFT energy (no corrections) is -85.9 eV/cell. The space group is R3m, No. 160. For the total magnetization, the calculation gives 0.000 Bohr magnetons per cell. Its density of states at the Fermi level is 0.00 states/eV per cell. For the volume, the calculation gives 356.5 Å³/cell. The value obtained for the formation energy from raw total energies is -26.95 eV per formula unit.



(4)
A relaxed Na2ErScS4 crystal, computed with GGA-PBE.

Unit cell a=3.864 b=6.686 c=7.017 alpha=108.53 beta=90.00 gamma=90.00
Fractional positions:
Na  0.500  0.000  0.500
Na  0.000  0.500  0.500
Er  0.500  0.500  0.000
Sc  0.000  0.000  0.000
S  0.500  0.230  0.218
S  0.500  0.770  0.782
S  0.000  0.250  0.777
S  0.000  0.750  0.223

Calculated values
The value obtained for the total DFT energy (no corrections) is -44.4 eV/cell. The space group is P2/m, No. 10. For the total magnetization, the calculation gives 0.000 Bohr magnetons per cell. Its density of states at the Fermi level is 0.00 states/eV per cell. For the volume, the calculation gives 171.9 Å³/cell. The value obtained for the formation energy from raw total energies is -14.33 eV per formula unit.



(5)
A relaxed Na3Er3ScS8 crystal, computed with GGA-PBE.

Unit cell a=7.789 b=7.790 c=8.091 alpha=118.82 beta=90.00 gamma=120.00
Fractional positions:
Na  0.000  0.000  0.000
Na  0.000  0.500  0.000
Na  0.500  0.500  0.000
Er  0.500  0.000  0.500
Er  0.500  0.500  0.500
Er  0.000  0.500  0.500
Sc  0.000  0.000  0.500
S  0.258  0.515  0.273
S  0.742  0.485  0.727
S  0.767  0.533  0.284
S  0.233  0.467  0.716
S  0.767  0.017  0.284
S  0.233  0.983  0.716
S  0.250  0.017  0.284
S  0.750  0.983  0.716

Calculated values
The value obtained for the total DFT energy (no corrections) is -82.9 eV/cell. The space group is R-3m, No. 166. For the total magnetization, the calculation gives 0.000 Bohr magnetons per cell. Its density of states at the Fermi level is 7.23 states/eV per cell. For the volume, the calculation gives 353.2 Å³/cell. The value obtained for the formation energy from raw total energies is -25.93 eV per formula unit.



(6)
A relaxed NaEr2ScS4 crystal, computed with GGA-PBE.

Unit cell a=3.832 b=6.625 c=6.720 alpha=70.79 beta=90.00 gamma=90.00
Fractional positions:
Na  0.000  0.500  0.500
Er  0.000  0.000  0.000
Er  0.500  0.000  0.500
Sc  0.500  0.500  0.000
S  0.000  0.744  0.757
S  0.000  0.256  0.243
S  0.500  0.751  0.242
S  0.500  0.249  0.758

Calculated values
The value obtained for the total DFT energy (no corrections) is -48.1 eV/cell. The space group is P2/m, No. 10. For the total magnetization, the calculation gives 0.000 Bohr magnetons per cell. Its density of states at the Fermi level is 2.68 states/eV per cell. For the volume, the calculation gives 161.1 Å³/cell. The value obtained for the formation energy from raw total energies is -14.84 eV per formula unit.



(7)
A relaxed NaErSeS crystal, computed with GGA-PBE.

Unit cell a=4.029 b=4.029 c=7.226 alpha=73.81 beta=73.81 gamma=60.00
Fractional positions:
Na  0.498  0.498  0.507
Er  0.004  0.004  0.989
Se  0.257  0.257  0.228
S  0.741  0.741  0.776

Calculated values
The value obtained for the total DFT energy (no corrections) is -20.6 eV/cell. The space group is R3m, No. 160. For the total magnetization, the calculation gives 0.000 Bohr magnetons per cell. Its density of states at the Fermi level is 0.00 states/eV per cell. For the volume, the calculation gives 96.2 Å³/cell. The value obtained for the formation energy from raw total energies is -7.09 eV per formula unit.



(8)
A relaxed Na3Sm2ErS6 crystal, computed with GGA-PBE.

Unit cell a=6.989 b=6.989 c=7.085 alpha=99.47 beta=99.47 gamma=120.00
Fractional positions:
Na  0.167  0.833  0.500
Na  0.833  0.167  0.500
Na  0.500  0.500  0.500
Sm  0.333  0.667  0.000
Sm  0.667  0.333  0.000
Er  0.000  0.000  0.000
S  0.924  0.598  0.771
S  0.750  0.750  0.228
S  0.076  0.402  0.229
S  0.598  0.924  0.771
S  0.250  0.250  0.772
S  0.402  0.076  0.229

Calculated values
The value obtained for the total DFT energy (no corrections) is -64.6 eV/cell. The space group is C2/m, No. 12. For the total magnetization, the calculation gives 0.000 Bohr magnetons per cell. Its density of states at the Fermi level is 0.00 states/eV per cell. For the volume, the calculation gives 283.0 Å³/cell. The value obtained for the formation energy from raw total energies is -21.92 eV per formula unit.



What is the formula in the eighth record?
Na3Sm2ErS6



Look up the total DFT energy (no corrections) of the eighth one.
-64.6 eV/cell



What is the total magnetization in the sixth record?
0.000 Bohr magnetons per cell